1) First-principles (PBE) data for crystalline CrW3C at its relaxed geometry, as listed in the Alexandria database.

Computed properties:
**M_tot**: 0.000 μB/atom
**Volume**: 89 Å³ per cell

```
data_CrW3C
_space_group_name_H-M_alt 'P m -3 m'
_space_group_IT_number 221
_space_group_name_Hall '-P 4 2 3'
_cell_length_a 4.472
_cell_length_b 4.472
_cell_length_c 4.472
_cell_angle_alpha 90.00
_cell_angle_beta 90.00
_cell_angle_gamma 90.00
loop_
_atom_site_label
_atom_site_fract_x
_atom_site_fract_y
_atom_site_fract_z
_atom_site_occupancy
Cr1 0.000 0.000 0.000 1
W1 0.000 0.000 0.500 1
C1 0.500 0.500 0.500 1
```


2) First-principles (PBE) data for crystalline CrW3C at its relaxed geometry, as listed in the Alexandria database.

Computed properties:
**M_tot**: 0.392 μB/atom
**Volume**: 71 Å³ per cell

```
data_CrW3C
_space_group_name_H-M_alt 'P m -3 m'
_space_group_IT_number 221
_space_group_name_Hall '-P 4 2 3'
_cell_length_a 4.136
_cell_length_b 4.136
_cell_length_c 4.136
_cell_angle_alpha 90.00
_cell_angle_beta 90.00
_cell_angle_gamma 90.00
loop_
_atom_site_label
_atom_site_fract_x
_atom_site_fract_y
_atom_site_fract_z
_atom_site_occupancy
Cr1 0.000 0.000 0.000 1
W1 0.000 0.500 0.500 1
C1 0.500 0.500 0.500 1
```


Stability check: which of them is least stable? 1).


1) First-principles (PBE) data for crystalline CrWC3 at its relaxed geometry, as listed in the Alexandria database.

Computed properties:
**M_tot**: 0.025 μB/atom
**Volume**: 66 Å³ per cell

```
data_CrWC3
_space_group_name_H-M_alt 'P m -3 m'
_space_group_IT_number 221
_space_group_name_Hall '-P 4 2 3'
_cell_length_a 4.037
_cell_length_b 4.037
_cell_length_c 4.037
_cell_angle_alpha 90.00
_cell_angle_beta 90.00
_cell_angle_gamma 90.00
loop_
_atom_site_label
_atom_site_fract_x
_atom_site_fract_y
_atom_site_fract_z
_atom_site_occupancy
Cr1 0.000 0.000 0.000 1
W1 0.500 0.500 0.500 1
C1 0.000 0.500 0.500 1
```


2) First-principles (PBE) data for crystalline CrWC3 at its relaxed geometry, as listed in the Alexandria database.

Computed properties:
**M_tot**: 0.156 μB/atom
**Volume**: 51 Å³ per cell

```
data_CrWC3
_space_group_name_H-M_alt 'P m -3 m'
_space_group_IT_number 221
_space_group_name_Hall '-P 4 2 3'
_cell_length_a 3.719
_cell_length_b 3.719
_cell_length_c 3.719
_cell_angle_alpha 90.00
_cell_angle_beta 90.00
_cell_angle_gamma 90.00
loop_
_atom_site_label
_atom_site_fract_x
_atom_site_fract_y
_atom_site_fract_z
_atom_site_occupancy
Cr1 0.000 0.000 0.000 1
W1 0.500 0.500 0.500 1
C1 0.000 0.000 0.500 1
```


Stability check: which of them is least stable? 1).